A plane-wave DFT calculation with PBE was carried out for an optimized crystal structure of H2OsRhN.

Structure (extended XYZ):
```
5
Lattice="-0.5879 0.2105 -3.1180 -1.3155 -4.2278 -0.0374 -2.9789 0.9214 0.6239" Properties=species:S:1:pos:R:3 pbc="T T T"
Rh 0.0000 0.0000 0.0000
Os -2.4411 -1.5479 -1.2657
H -1.4894 0.4607 0.3119
H -0.2940 0.1053 -1.5590
N -0.6578 -2.1139 -0.0187
```

## Properties
Mass density ... 11.466 g/cm³
Final energy ... -28.9 eV/cell
Spin magnetization ... 1.906 μB/f.u.



A plane-wave DFT calculation with PBE was carried out for an optimized crystal structure of HOsSN2.

Structure (extended XYZ):
```
5
Lattice="3.8740 0.0000 0.0000 0.0000 3.8740 0.0000 0.0000 0.0000 2.9316" Properties=species:S:1:pos:R:3 pbc="T T T"
H 0.0000 0.0000 0.0000
S 0.0000 0.0000 1.4658
Os 1.9370 1.9370 1.4658
N 0.0000 1.9370 0.0000
N 1.9370 0.0000 0.0000
```

## Properties
Offset from the most stable computed form ... 0.922 eV per atom
Mass density ... 9.485 g/cm³
Final energy ... -25.1 eV/cell
Spin magnetization ... 0.000 μB/f.u.



A plane-wave DFT calculation with PBE was carried out for an optimized crystal structure of HOsSN2.

Structure (extended XYZ):
```
5
Lattice="3.7266 0.0000 0.0000 0.0000 3.7266 0.0000 0.0000 0.0000 5.1021" Properties=species:S:1:pos:R:3 pbc="T T T"
H 1.8633 1.8633 2.5511
S 0.0000 0.0000 2.5511
Os 0.0000 0.0000 0.0000
N 0.0000 1.8633 0.0000
N 1.8633 0.0000 0.0000
```

## Properties
Offset from the most stable computed form ... 0.000 eV per atom
Mass density ... 5.890 g/cm³
Final energy ... -29.8 eV/cell
Spin magnetization ... 0.170 μB/f.u.



Q: Which formula does entry 3 have?
A: HOsSN2



Q: Which of these has the lowest mass density?
A: number 3



Q: The highest mass density belongs to which entry?
A: H2OsRhN



Q: Number 2 is which compound?
A: HOsSN2